No. 1
Compound: Sr5TmBi5
Source: Alexandria via LeMat-Bulk
Functional: GGA-PBE
Structure: relaxed

Properties
As for the space group: C2/m, No. 12. The calculation puts the formation energy at -695 meV per atom.

Geometry as CIF:
```
data_Sr5TmBi5
_chemical_formula_sum 'Sr5 Tm1 Bi5'
_space_group_name_H-M_alt 'P 1'
_space_group_IT_number 1
_cell_length_a 6.660
_cell_length_b 8.509
_cell_length_c 9.293
_cell_angle_alpha 106.56
_cell_angle_beta 90.00
_cell_angle_gamma 113.04
loop_
_space_group_symop_operation_xyz
'x,y,z'
loop_
_atom_site_label
_atom_site_fract_x
_atom_site_fract_y
_atom_site_fract_z
_atom_site_occupancy
Sr1 0.000 0.000 0.500 1
Sr2 0.687 0.374 0.323 1
Sr3 0.675 0.349 0.849 1
Sr4 0.325 0.651 0.151 1
Sr5 0.313 0.626 0.677 1
Bi1 0.500 0.000 0.000 1
Bi2 0.843 0.687 0.680 1
Bi3 0.148 0.295 0.837 1
Bi4 0.157 0.313 0.320 1
Bi5 0.852 0.705 0.163 1
Tm1 0.000 0.000 0.000 1
```

---

No. 2
Compound: Sr5TmBi4
Source: Alexandria via LeMat-Bulk
Functional: GGA-PBE
Structure: relaxed

Properties
As for the space group: C2/m, No. 12. The calculation puts the formation energy at -729 meV per atom.

Geometry as CIF:
```
data_Sr5TmBi4
_chemical_formula_sum 'Sr5 Tm1 Bi4'
_space_group_name_H-M_alt 'P 1'
_space_group_IT_number 1
_cell_length_a 4.969
_cell_length_b 8.642
_cell_length_c 14.749
_cell_angle_alpha 136.94
_cell_angle_beta 99.70
_cell_angle_gamma 90.00
loop_
_space_group_symop_operation_xyz
'x,y,z'
loop_
_atom_site_label
_atom_site_fract_x
_atom_site_fract_y
_atom_site_fract_z
_atom_site_occupancy
Bi1 0.304 0.874 0.607 1
Bi2 0.696 0.126 0.393 1
Bi3 0.978 0.722 0.956 1
Bi4 0.022 0.278 0.044 1
Sr1 0.172 0.817 0.344 1
Sr2 0.828 0.183 0.656 1
Sr3 0.500 0.500 0.000 1
Sr4 0.154 0.271 0.308 1
Sr5 0.846 0.729 0.692 1
Tm1 0.500 0.000 0.000 1
```

---

No. 3
Compound: SrUBi2
Source: Alexandria via LeMat-Bulk
Functional: GGA-PBE
Structure: relaxed

Properties
Its energy above the most stable polymorph in this dataset is 0.00 eV per formula unit. As for the space group: R-3m, No. 166. The calculation puts the formation energy at -340 meV per atom.

Geometry as CIF:
```
data_SrUBi2
_chemical_formula_sum 'Sr1 U1 Bi2'
_space_group_name_H-M_alt 'P 1'
_space_group_IT_number 1
_cell_length_a 4.636
_cell_length_b 4.636
_cell_length_c 8.193
_cell_angle_alpha 73.56
_cell_angle_beta 73.56
_cell_angle_gamma 60.00
loop_
_space_group_symop_operation_xyz
'x,y,z'
loop_
_atom_site_label
_atom_site_fract_x
_atom_site_fract_y
_atom_site_fract_z
_atom_site_occupancy
U1 0.000 0.000 0.000 1
Bi1 0.259 0.259 0.223 1
Bi2 0.741 0.741 0.777 1
Sr1 0.500 0.500 0.500 1
```

---

No. 4
Compound: SrUBi2
Source: Alexandria via LeMat-Bulk
Functional: GGA-PBE
Structure: relaxed

Properties
Its energy above the most stable polymorph in this dataset is 0.51 eV per formula unit. As for the space group: P4/mmm, No. 123. The calculation puts the formation energy at -212 meV per atom.

Geometry as CIF:
```
data_SrUBi2
_chemical_formula_sum 'Sr1 U1 Bi2'
_space_group_name_H-M_alt 'P 1'
_space_group_IT_number 1
_cell_length_a 3.438
_cell_length_b 6.035
_cell_length_c 6.035
_cell_angle_alpha 90.00
_cell_angle_beta 90.00
_cell_angle_gamma 90.00
loop_
_space_group_symop_operation_xyz
'x,y,z'
loop_
_atom_site_label
_atom_site_fract_x
_atom_site_fract_y
_atom_site_fract_z
_atom_site_occupancy
Bi1 0.000 0.000 0.500 1
Bi2 0.000 0.500 0.000 1
U1 0.500 0.000 0.000 1
Sr1 0.500 0.500 0.500 1
```

---

No. 5
Compound: SrUBi2
Source: Alexandria via LeMat-Bulk
Functional: GGA-PBE
Structure: relaxed

Properties
Its energy above the most stable polymorph in this dataset is 0.27 eV per formula unit. As for the space group: P4/mmm, No. 123. The calculation puts the formation energy at -273 meV per atom.

Geometry as CIF:
```
data_SrUBi2
_chemical_formula_sum 'Sr1 U1 Bi2'
_space_group_name_H-M_alt 'P 1'
_space_group_IT_number 1
_cell_length_a 3.865
_cell_length_b 3.865
_cell_length_c 8.466
_cell_angle_alpha 90.00
_cell_angle_beta 90.00
_cell_angle_gamma 90.00
loop_
_space_group_symop_operation_xyz
'x,y,z'
loop_
_atom_site_label
_atom_site_fract_x
_atom_site_fract_y
_atom_site_fract_z
_atom_site_occupancy
Bi1 0.000 0.000 0.231 1
Bi2 0.000 0.000 0.769 1
U1 0.500 0.500 0.000 1
Sr1 0.500 0.500 0.500 1
```

---

No. 6
Compound: SrVBi2
Source: Alexandria via LeMat-Bulk
Functional: GGA-PBE
Structure: relaxed

Properties
Its energy above the most stable polymorph in this dataset is 0.09 eV per formula unit. As for the space group: Fm-3m, No. 225. The calculation puts the formation energy at -8 meV per atom.

Geometry as CIF:
```
data_SrVBi2
_chemical_formula_sum 'Sr1 V1 Bi2'
_space_group_name_H-M_alt 'P 1'
_space_group_IT_number 1
_cell_length_a 5.429
_cell_length_b 5.429
_cell_length_c 5.429
_cell_angle_alpha 60.00
_cell_angle_beta 60.00
_cell_angle_gamma 60.00
loop_
_space_group_symop_operation_xyz
'x,y,z'
loop_
_atom_site_label
_atom_site_fract_x
_atom_site_fract_y
_atom_site_fract_z
_atom_site_occupancy
Sr1 0.500 0.500 0.500 1
V1 0.000 0.000 0.000 1
Bi1 0.750 0.750 0.750 1
Bi2 0.250 0.250 0.250 1
```

---

No. 7
Compound: SrV3Bi
Source: Alexandria via LeMat-Bulk
Functional: GGA-PBE
Structure: relaxed

Properties
As for the space group: Pm-3m, No. 221. The calculation puts the formation energy at 2263 meV per atom.

Geometry as CIF:
```
data_SrV3Bi
_chemical_formula_sum 'Sr1 V3 Bi1'
_space_group_name_H-M_alt 'P 1'
_space_group_IT_number 1
_cell_length_a 4.748
_cell_length_b 4.748
_cell_length_c 4.748
_cell_angle_alpha 90.00
_cell_angle_beta 90.00
_cell_angle_gamma 90.00
loop_
_space_group_symop_operation_xyz
'x,y,z'
loop_
_atom_site_label
_atom_site_fract_x
_atom_site_fract_y
_atom_site_fract_z
_atom_site_occupancy
V1 0.500 0.000 0.000 1
V2 0.000 0.000 0.500 1
V3 0.000 0.500 0.000 1
Sr1 0.000 0.000 0.000 1
Bi1 0.500 0.500 0.500 1
```

---

No. 8
Compound: Sr2VBi
Source: Alexandria via LeMat-Bulk
Functional: GGA-PBE
Structure: relaxed

Properties
As for the space group: I-42d, No. 122. The calculation puts the formation energy at 385 meV per atom.

Geometry as CIF:
```
data_Sr2VBi
_chemical_formula_sum 'Sr4 V2 Bi2'
_space_group_name_H-M_alt 'P 1'
_space_group_IT_number 1
_cell_length_a 8.978
_cell_length_b 8.978
_cell_length_c 7.278
_cell_angle_alpha 51.92
_cell_angle_beta 51.92
_cell_angle_gamma 90.00
loop_
_space_group_symop_operation_xyz
'x,y,z'
loop_
_atom_site_label
_atom_site_fract_x
_atom_site_fract_y
_atom_site_fract_z
_atom_site_occupancy
Sr1 0.375 0.379 0.750 1
Sr2 0.621 0.125 0.250 1
Sr3 0.129 0.625 0.250 1
Sr4 0.875 0.871 0.750 1
Bi1 0.750 0.250 0.500 1
Bi2 0.000 0.000 0.000 1
V1 0.250 0.750 0.500 1
V2 0.500 0.500 0.000 1
```

---

No. 9
Compound: SrVBi2
Source: Alexandria via LeMat-Bulk
Functional: GGA-PBE
Structure: relaxed

Properties
Its energy above the most stable polymorph in this dataset is 0.00 eV per formula unit. As for the space group: I-42d, No. 122. The calculation puts the formation energy at -29 meV per atom.

Geometry as CIF:
```
data_SrVBi2
_chemical_formula_sum 'Sr2 V2 Bi4'
_space_group_name_H-M_alt 'P 1'
_space_group_IT_number 1
_cell_length_a 8.457
_cell_length_b 8.457
_cell_length_c 6.905
_cell_angle_alpha 52.24
_cell_angle_beta 52.24
_cell_angle_gamma 90.00
loop_
_space_group_symop_operation_xyz
'x,y,z'
loop_
_atom_site_label
_atom_site_fract_x
_atom_site_fract_y
_atom_site_fract_z
_atom_site_occupancy
V1 0.250 0.750 0.500 1
V2 0.500 0.500 0.000 1
Bi1 0.875 0.826 0.750 1
Bi2 0.174 0.625 0.250 1
Bi3 0.576 0.125 0.250 1
Bi4 0.375 0.424 0.750 1
Sr1 0.000 0.000 0.000 1
Sr2 0.750 0.250 0.500 1
```

---

No. 10
Compound: Sr3BiW
Source: Alexandria via LeMat-Bulk
Functional: GGA-PBE
Structure: relaxed

Properties
Its energy above the most stable polymorph in this dataset is 0.74 eV per formula unit. As for the space group: Pm-3m, No. 221. The calculation puts the formation energy at 930 meV per atom.

Geometry as CIF:
```
data_Sr3BiW
_chemical_formula_sum 'Sr3 Bi1 W1'
_space_group_name_H-M_alt 'P 1'
_space_group_IT_number 1
_cell_length_a 6.295
_cell_length_b 6.295
_cell_length_c 6.295
_cell_angle_alpha 90.00
_cell_angle_beta 90.00
_cell_angle_gamma 90.00
loop_
_space_group_symop_operation_xyz
'x,y,z'
loop_
_atom_site_label
_atom_site_fract_x
_atom_site_fract_y
_atom_site_fract_z
_atom_site_occupancy
Sr1 0.000 0.000 0.500 1
Sr2 0.500 0.000 0.000 1
Sr3 0.000 0.500 0.000 1
Bi1 0.000 0.000 0.000 1
W1 0.500 0.500 0.500 1
```

---

No. 11
Compound: SrBiW2
Source: Alexandria via LeMat-Bulk
Functional: GGA-PBE
Structure: relaxed

Properties
As for the space group: I-42d, No. 122. The calculation puts the formation energy at 1206 meV per atom.

Geometry as CIF:
```
data_SrBiW2
_chemical_formula_sum 'Sr2 Bi2 W4'
_space_group_name_H-M_alt 'P 1'
_space_group_IT_number 1
_cell_length_a 4.672
_cell_length_b 4.672
_cell_length_c 10.814
_cell_angle_alpha 77.53
_cell_angle_beta 77.53
_cell_angle_gamma 90.00
loop_
_space_group_symop_operation_xyz
'x,y,z'
loop_
_atom_site_label
_atom_site_fract_x
_atom_site_fract_y
_atom_site_fract_z
_atom_site_occupancy
Bi1 0.000 0.000 0.000 1
Bi2 0.750 0.250 0.500 1
W1 0.875 0.218 0.750 1
W2 0.782 0.625 0.250 1
W3 0.968 0.125 0.250 1
W4 0.375 0.032 0.750 1
Sr1 0.250 0.750 0.500 1
Sr2 0.500 0.500 0.000 1
```

---

No. 12
Compound: Sr3BiW
Source: Alexandria via LeMat-Bulk
Functional: GGA-PBE
Structure: relaxed

Properties
Its energy above the most stable polymorph in this dataset is 0.00 eV per formula unit. As for the space group: Pm-3m, No. 221. The calculation puts the formation energy at 783 meV per atom.

Geometry as CIF:
```
data_Sr3BiW
_chemical_formula_sum 'Sr3 Bi1 W1'
_space_group_name_H-M_alt 'P 1'
_space_group_IT_number 1
_cell_length_a 5.758
_cell_length_b 5.758
_cell_length_c 5.758
_cell_angle_alpha 90.00
_cell_angle_beta 90.00
_cell_angle_gamma 90.00
loop_
_space_group_symop_operation_xyz
'x,y,z'
loop_
_atom_site_label
_atom_site_fract_x
_atom_site_fract_y
_atom_site_fract_z
_atom_site_occupancy
W1 0.000 0.000 0.000 1
Sr1 0.000 0.000 0.500 1
Sr2 0.500 0.000 0.000 1
Sr3 0.000 0.500 0.000 1
Bi1 0.500 0.500 0.500 1
```